Entry 1:
Ca3PuS4 | PBE-GGA | optimized geometry

Summary:
Calculated total energy: -0.4852 Ry per atom
Mass density: 4.4 g/cm3
Energy relative to the lowest polymorph listed for this composition: 0.024 eV/atom
Formation energy from raw total energies: -1996 meV per atom
Total magnetic moment: 5.9 μB/f.u.

CIF file:
```
data_Ca3PuS4
_chemical_formula_sum 'Ca6 Pu2 S8'
_symmetry_space_group_name_H-M 'C m m m'
_symmetry_Int_Tables_number 65
_symmetry_space_group_name_Hall '-C 2 2'
_cell_length_a 8.055
_cell_length_b 11.433
_cell_length_c 4.025
_cell_angle_alpha 90.00
_cell_angle_beta 90.00
_cell_angle_gamma 90.00
loop_
_atom_site_label
_atom_site_type_symbol
_atom_site_fract_x
_atom_site_fract_y
_atom_site_fract_z
Ca1 Ca 0.000 0.000 0.000
Ca2 Ca 0.250 0.250 0.500
Pu1 Pu 0.000 0.500 0.000
S1 S 0.000 0.250 0.000
S2 S 0.248 0.500 0.500
```

=====

Entry 2:
PrHo2Te3 | PBE-GGA | optimized geometry

Summary:
Calculated total energy: -0.3725 Ry per atom
Mass density: 7.7 g/cm3
Energy relative to the lowest polymorph listed for this composition: 0.134 eV/atom
Formation energy from raw total energies: -1174 meV per atom
Total magnetic moment: 0.0 μB/f.u.

CIF file:
```
data_PrHo2Te3
_chemical_formula_sum 'Pr4 Ho8 Te12'
_symmetry_space_group_name_H-M 'C m c m'
_symmetry_Int_Tables_number 63
_symmetry_space_group_name_Hall '-C 2c 2'
_cell_length_a 4.525
_cell_length_b 15.088
_cell_length_c 10.719
_cell_angle_alpha 90.00
_cell_angle_beta 90.00
_cell_angle_gamma 90.00
loop_
_atom_site_label
_atom_site_type_symbol
_atom_site_fract_x
_atom_site_fract_y
_atom_site_fract_z
Pr1 Pr 0.000 0.207 0.250
Ho1 Ho 0.000 0.000 0.000
Ho2 Ho 0.000 0.490 0.250
Te1 Te 0.000 0.135 0.750
Te2 Te 0.000 0.363 0.551
```

=====

Entry 3:
TaAlP2O | PBE-GGA | optimized geometry

Summary:
Calculated total energy: -0.4948 Ry per atom
Mass density: 5.1 g/cm3
Energy relative to the lowest polymorph listed for this composition: 0.000 eV/atom
Formation energy from raw total energies: -457 meV per atom
Total magnetic moment: 0.0 μB/f.u.

CIF file:
```
data_TaAlP2O
_chemical_formula_sum 'Ta1 Al1 P2 O1'
_symmetry_space_group_name_H-M 'P 4/m m m'
_symmetry_Int_Tables_number 123
_symmetry_space_group_name_Hall '-P 4 2'
_cell_length_a 4.938
_cell_length_b 4.938
_cell_length_c 3.842
_cell_angle_alpha 90.00
_cell_angle_beta 90.00
_cell_angle_gamma 90.00
loop_
_atom_site_label
_atom_site_type_symbol
_atom_site_fract_x
_atom_site_fract_y
_atom_site_fract_z
Ta1 Ta 0.000 0.000 0.000
Al1 Al 0.500 0.500 0.500
P1 P 0.000 0.500 0.000
O1 O 0.000 0.000 0.500
```

=====

Entry 4:
RbNaSmBr5 | PBE-GGA | optimized geometry

Summary:
Calculated total energy: -0.2707 Ry per atom
Mass density: 3.3 g/cm3
Formation energy from raw total energies: -1761 meV per atom
Total magnetic moment: 0.0 μB/f.u.

CIF file:
```
data_RbNaSmBr5
_chemical_formula_sum 'Rb4 Na4 Sm4 Br20'
_symmetry_space_group_name_H-M 'C 1 2/c 1'
_symmetry_Int_Tables_number 15
_cell_length_a 9.521
_cell_length_b 13.612
_cell_length_c 11.006
_cell_angle_alpha 90.00
_cell_angle_beta 112.07
_cell_angle_gamma 90.00
loop_
_symmetry_equiv_pos_as_xyz
'x,y,z'
'-x,-y,-z'
'-x,y,-z+1/2'
'x,-y,z+1/2'
'x+1/2,y+1/2,z'
'-x+1/2,-y+1/2,-z'
'-x+1/2,y+1/2,-z+1/2'
'x+1/2,-y+1/2,z+1/2'
loop_
_atom_site_label
_atom_site_type_symbol
_atom_site_fract_x
_atom_site_fract_y
_atom_site_fract_z
Rb1 Rb 0.000 0.160 0.250
Na1 Na 0.000 0.189 0.750
Sm1 Sm 0.000 0.500 0.000
Br1 Br 0.000 0.430 0.250
Br2 Br 0.104 0.306 0.590
Br3 Br 0.191 0.053 0.936
```

=====

Entry 5:
HoSnBr5 | PBE-GGA | optimized geometry

Summary:
Calculated total energy: -0.2775 Ry per atom
Mass density: 4.6 g/cm3
Formation energy from raw total energies: -1354 meV per atom
Total magnetic moment: 0.0 μB/f.u.

CIF file:
```
data_HoSnBr5
_chemical_formula_sum 'Ho2 Sn2 Br10'
_symmetry_space_group_name_H-M 'P 1 21/m 1'
_symmetry_Int_Tables_number 11
_cell_length_a 8.440
_cell_length_b 4.253
_cell_length_c 13.902
_cell_angle_alpha 90.00
_cell_angle_beta 94.16
_cell_angle_gamma 90.00
loop_
_symmetry_equiv_pos_as_xyz
'x,y,z'
'-x,-y,-z'
'-x,y+1/2,-z'
'x,-y+1/2,z'
loop_
_atom_site_label
_atom_site_type_symbol
_atom_site_fract_x
_atom_site_fract_y
_atom_site_fract_z
Ho1 Ho 0.089 0.250 0.146
Sn1 Sn 0.404 0.750 0.364
Br1 Br 0.104 0.250 0.798
Br2 Br 0.144 0.250 0.358
Br3 Br 0.175 0.750 0.014
Br4 Br 0.354 0.750 0.568
Br5 Br 0.415 0.250 0.178
```

=====

Entry 6:
Dy4Sn2Te | PBE-GGA | optimized geometry

Summary:
Calculated total energy: -0.3600 Ry per atom
Mass density: 8.4 g/cm3
Formation energy from raw total energies: -676 meV per atom
Total magnetic moment: 0.0 μB/f.u.

CIF file:
```
data_Dy4Sn2Te
_chemical_formula_sum 'Dy8 Sn4 Te2'
_symmetry_space_group_name_H-M 'P 1 21/m 1'
_symmetry_Int_Tables_number 11
_cell_length_a 6.182
_cell_length_b 6.475
_cell_length_c 10.174
_cell_angle_alpha 90.00
_cell_angle_beta 98.24
_cell_angle_gamma 90.00
loop_
_symmetry_equiv_pos_as_xyz
'x,y,z'
'-x,-y,-z'
'-x,y+1/2,-z'
'x,-y+1/2,z'
loop_
_atom_site_label
_atom_site_type_symbol
_atom_site_fract_x
_atom_site_fract_y
_atom_site_fract_z
Dy1 Dy 0.035 0.250 0.163
Dy2 Dy 0.142 0.750 0.453
Dy3 Dy 0.427 0.006 0.731
Sn1 Sn 0.309 0.250 0.456
Sn2 Sn 0.500 0.250 0.011
Te1 Te 0.038 0.750 0.158
```